Here is crystalline CaMo2CN at its relaxed geometry from Alexandria via LeMat-Bulk. Energies are from GGA-PBEsol.

Cell lengths 4.593, 4.593, 3.797 Å; angles 90.00, 90.00, 90.00 degrees
Space group P4/mmm (No. 123)
Unique sites:
Ca (0.000, 0.000, 0.000) x1
Mo (0.000, 0.500, 0.000) x2
C (0.000, 0.000, 0.500) x1
N (0.500, 0.500, 0.500) x1

## Properties
The value obtained for the density of states at the Fermi level is 6.4 states/eV/cell. The calculation puts the magnetization at 0.76 μB/cell. For the formation energy (no corrections), the calculation gives 3948 meV per atom. For the total energy, the calculation gives -4.820 eV per atom.